1.
Density functional theory data (PBE) for an optimized crystal structure of Cs2HfSiBi.

```
5
Lattice="6.8990 0.0000 0.0000 0.0000 6.8990 0.0000 0.0000 0.0000 5.0597" Properties=species:S:1:pos:R:3 pbc="T T T"
Cs 0.0000 3.4495 0.0000
Cs 3.4495 0.0000 0.0000
Hf 0.0000 0.0000 2.5298
Si 0.0000 0.0000 0.0000
Bi 3.4495 3.4495 2.5298
```

Output
M_tot (μB/cell): 0.00
Raw formation energy (kcal/mol of atoms): 16.89

2.
Density functional theory data (PBE) for an optimized crystal structure of Cs3HfBi2Te6.

```
12
Lattice="4.0090 -6.9588 0.0000 4.0090 6.9588 0.0000 -2.6742 0.0000 8.7198" Properties=species:S:1:pos:R:3 pbc="T T T"
Cs 0.0000 0.0000 0.0000
Cs 4.0090 2.4259 0.0000
Cs 4.0090 -2.4259 0.0000
Hf 2.6719 0.0000 4.3599
Bi 2.6719 4.6523 4.3599
Bi 2.6719 -4.6523 4.3599
Te 1.4389 2.1421 2.7648
Te 0.2124 0.0000 5.9827
Te 1.4389 -2.1421 2.7648
Te 3.9050 2.1421 5.9550
Te 5.1314 0.0000 2.7370
Te 3.9050 -2.1421 5.9550
```

Output
M_tot (μB/cell): 0.38
Raw formation energy (kcal/mol of atoms): -15.90

3.
Density functional theory data (PBE) for an optimized crystal structure of CsHfTl2Bi.

```
5
Lattice="5.8200 0.0000 0.0000 0.0000 5.8200 0.0000 0.0000 0.0000 5.7041" Properties=species:S:1:pos:R:3 pbc="T T T"
Cs 0.0000 0.0000 0.0000
Hf 2.9100 2.9100 2.8520
Tl 0.0000 2.9100 2.8520
Tl 2.9100 0.0000 2.8520
Bi 2.9100 2.9100 0.0000
```

Output
M_tot (μB/cell): 0.00
ΔH_f (0 K) (eV per atom): 0.0037

4.
Density functional theory data (PBE) for an optimized crystal structure of Cs2HgBi2.

```
10
Lattice="6.5417 -2.9189 0.0000 6.5417 2.9189 0.0000 -5.8598 0.0000 11.5012" Properties=species:S:1:pos:R:3 pbc="T T T"
Cs -1.1839 0.0000 4.4257
Cs -0.5700 0.0000 9.3502
Cs 7.7936 0.0000 2.1510
Cs 8.4075 0.0000 7.0755
Hg 3.9279 0.0000 1.6775
Hg 3.2956 0.0000 9.8237
Bi -4.3521 0.0000 11.0538
Bi 2.7379 0.0000 4.5067
Bi 4.4856 0.0000 6.9945
Bi 11.5756 0.0000 0.4474
```

Output
M_tot (μB/cell): 0.00
ΔH_f (0 K) (eV per atom): -0.3084
Polymorph energy (0 for the lowest one) (eV per atom): 0.000

Number 1: D(E_F) 4.7 states/eV/f.u.. Number 2: D(E_F) 6.5 states/eV/f.u.. Number 3: D(E_F) 3.3 states/eV/f.u.. Number 4: D(E_F) 1.9 states/eV/f.u..